(1)
Material: ErCu2Cl8
Method: DFT, PBE
State: relaxed

Properties
* total magnetization: 0.000 μB/atom
* uncorrected formation energy: -0.9921 eV/atom

Cell: 6.663 6.663 11.733 Å, 90.00 90.00 90.00°
Space group I422 (No. 97)
Inequivalent atoms, fractional coordinates:
Er (0.000, 0.000, 0.000)
Cu (0.000, 0.500, 0.250)
Cl (0.166, 0.320, 0.883)

---

(2)
Material: AcY2CrN4
Method: DFT, PBE
State: relaxed

Properties
* total magnetization: 0.255 μB/atom
* uncorrected formation energy: -1.2230 eV/atom

Cell: 3.482 11.901 11.713 Å, 90.00 90.00 90.00°
Space group Cmcm (No. 63)
Inequivalent atoms, fractional coordinates:
Ac (0.000, 0.092, 0.250)
Y (0.000, 0.369, 0.044)
Cr (0.000, 0.171, 0.750)
N (0.000, 0.000, 0.000)
N (0.000, 0.262, 0.624)
N (0.000, 0.411, 0.250)

---

(3)
Material: PrZnP2O8
Method: DFT, PBE
State: relaxed

Properties
* total magnetization: 0.072 μB/atom
* uncorrected formation energy: -2.2516 eV/atom

Cell: 5.1764 5.1764 6.9310 Å, 90.00 90.00 120.00°
Space group P-3 (No. 147)
Inequivalent atoms, fractional coordinates:
Pr (0.0000, 0.0000, 0.0000)
Zn (0.0000, 0.0000, 0.5000)
P (0.3333, 0.6667, 0.7727)
O (0.1682, 0.3386, 0.7059)
O (0.3333, 0.6667, 0.9970)

---

(4)
Material: Zr2BeBr
Method: DFT, PBE
State: relaxed

Properties
* total magnetization: 0.000 μB/atom
* uncorrected formation energy: -0.0086 eV/atom
* offset from the most stable computed form: 260 meV per atom

Cell: 3.215 3.215 9.316 Å, 90.00 90.00 90.00°
Space group P4mm (No. 99)
Inequivalent atoms, fractional coordinates:
Zr (0.000, 0.000, 0.000)
Zr (0.500, 0.500, 0.258)
Be (0.000, 0.000, 0.412)
Br (0.500, 0.500, 0.809)

---

(5)
Material: Re2MoP
Method: DFT, PBE
State: relaxed

Properties
* total magnetization: 0.000 μB/atom
* energy of formation from the pure elements: 12.44 kcal/mol of atoms

Cell: 3.864 3.864 17.290 Å, 90.00 90.00 90.00°
Space group I-42d (No. 122)
Inequivalent atoms, fractional coordinates:
Re (0.204, 0.250, 0.125)
Mo (0.000, 0.000, 0.500)
P (0.000, 0.000, 0.000)

---

(6)
Material: TaPtCl2
Method: DFT, PBE
State: relaxed

Properties
* total magnetization: 0.000 μB/atom
* uncorrected formation energy: -0.4926 eV/atom
* offset from the most stable computed form: 171 meV per atom

Cell: 2.938 4.749 14.056 Å, 90.00 90.00 90.00°
Space group Immm (No. 71)
Inequivalent atoms, fractional coordinates:
Ta (0.000, 0.000, 0.000)
Pt (0.000, 0.000, 0.500)
Cl (0.000, 0.500, 0.356)

---

(7)
Material: NaTbPt2
Method: DFT, PBE
State: relaxed

Properties
* total magnetization: 0.000 μB/atom
* energy of formation from the pure elements: -15.94 kcal/mol of atoms

Cell: 4.443 4.443 3.902 Å, 90.00 90.00 90.00°
Space group P4/mmm (No. 123)
Inequivalent atoms, fractional coordinates:
Na (0.000, 0.000, 0.000)
Tb (0.500, 0.500, 0.000)
Pt (0.000, 0.500, 0.500)

---

(8)
Material: InIrW
Method: DFT, PBE
State: relaxed

Properties
* total magnetization: 0.000 μB/atom
* energy of formation from the pure elements: 5.41 kcal/mol of atoms

Cell: 2.9206 2.9206 6.9684 Å, 90.00 90.00 120.00°
Space group P3m1 (No. 156)
Inequivalent atoms, fractional coordinates:
In (0.0000, 0.0000, 0.0000)
Ir (0.3333, 0.6667, 0.3457)
W (0.6667, 0.3333, 0.6416)

---

(9)
Material: Mg2CuW
Method: DFT, PBE
State: relaxed

Properties
* total magnetization: 0.000 μB/atom
* offset from the most stable computed form: 211 meV per atom
* energy of formation from the pure elements: 10.04 kcal/mol of atoms

Cell: 2.763 4.109 5.791 Å, 90.00 90.00 90.00°
Space group Pmmm (No. 47)
Inequivalent atoms, fractional coordinates:
Mg (0.000, 0.000, 0.244)
Cu (0.500, 0.500, 0.000)
W (0.500, 0.500, 0.500)

---

(10)
Material: MnFeBr
Method: DFT, PBE
State: relaxed

Properties
* total magnetization: 2.441 μB/atom
* uncorrected formation energy: 0.5316 eV/atom

Cell: 3.102 3.102 11.980 Å, 90.00 90.00 90.00°
Space group I4mm (No. 107)
Inequivalent atoms, fractional coordinates:
Mn (0.000, 0.000, 0.000)
Fe (0.000, 0.000, 0.631)
Br (0.000, 0.000, 0.262)

---

(11)
Material: Ga5Pb2Au3
Method: DFT, PBE
State: relaxed

Properties
* total magnetization: 0.000 μB/atom
* energy of formation from the pure elements: -2.87 kcal/mol of atoms

Cell: 4.397 26.141 7.417 Å, 90.00 90.00 90.00°
Space group Cmc2_1 (No. 36)
Inequivalent atoms, fractional coordinates:
Ga (0.000, 0.054, 0.000)
Ga (0.000, 0.122, 0.657)
Ga (0.000, 0.293, 0.296)
Ga (0.000, 0.295, 0.892)
Ga (0.000, 0.396, 0.777)
Pb (0.000, 0.178, 0.098)
Pb (0.000, 0.480, 0.143)
Au (0.000, 0.055, 0.375)
Au (0.000, 0.224, 0.590)
Au (0.000, 0.392, 0.395)

---

(12)
Material: YTiGa2
Method: DFT, PBE
State: relaxed

Properties
* total magnetization: 0.253 μB/atom
* offset from the most stable computed form: 76 meV per atom
* energy of formation from the pure elements: -8.37 kcal/mol of atoms

Cell: 6.781 6.781 6.781 Å, 90.00 90.00 90.00°
Space group Fm-3m (No. 225)
Inequivalent atoms, fractional coordinates:
Y (0.000, 0.000, 0.000)
Ti (0.000, 0.000, 0.500)
Ga (0.250, 0.250, 0.250)

---

- Among the records above, which one has the highest total magnetization?
  MnFeBr

---

Please write out number 12 again, unchanged.
Material: YTiGa2
Method: DFT, PBE
State: relaxed

Properties
* total magnetization: 0.253 μB/atom
* offset from the most stable computed form: 76 meV per atom
* energy of formation from the pure elements: -8.37 kcal/mol of atoms

Cell: 6.781 6.781 6.781 Å, 90.00 90.00 90.00°
Space group Fm-3m (No. 225)
Inequivalent atoms, fractional coordinates:
Y (0.000, 0.000, 0.000)
Ti (0.000, 0.000, 0.500)
Ga (0.250, 0.250, 0.250)

---

- Look up the total magnetization of the fifth one.
  0.000 μB/atom